16
Lattice="5.613 0.000 0.000 0.000 5.724 0.000 0.000 0.000 9.375" Properties=species:S:1:pos:R:3 comment="ZrOF2 PBE relaxed" raw_formation_energy_ev_per_atom=-3.493 total_magnetization_mub_per_fu=0.00 n_ef_per_ev_cell=0.0 pbc="T T T"
Zr 1.403 0.000 1.099
Zr 1.403 2.862 3.589
Zr 4.210 0.000 8.276
Zr 4.210 2.862 5.787
O 0.892 1.431 2.344
O 1.914 4.293 2.344
O 3.699 1.431 7.032
O 4.720 4.293 7.032
F 0.399 0.989 8.744
F 0.399 1.873 5.319
F 2.407 3.850 5.319
F 2.407 4.735 8.744
F 3.206 0.989 0.631
F 3.206 1.873 4.056
F 5.214 3.850 4.056
F 5.214 4.735 0.631